Entry 1:
Density functional theory data (GGA-PBE) for a relaxed structure of Hf3BeGa.

a b c (Å): 6.5867 6.5867 5.0227
angles (deg): 90.00 90.00 120.00
Space group P6_3/mmc (No. 194)
Asymmetric unit:
Hf1 0.1821 0.3642 0.2500 x6
Be1 0.0000 0.0000 0.0000 x2
Ga1 0.3333 0.6667 0.7500 x2

Summary:
Density of states at the Fermi level = 0.81 states/eV/atom
Crystal system = hexagonal
DFT formation energy = 0.021 eV per atom
Total energy = -73.0 eV per cell
Energy above the most stable polymorph in this dataset = 0.000 eV/atom


Entry 2:
Density functional theory data (GGA-PBE) for a relaxed structure of Tm6RhSe2S3.

a b c (Å): 17.2562 3.8785 7.9931
angles (deg): 90.00 103.05 90.00
Space group C2/m (No. 12)
Asymmetric unit:
Tm1 0.0038 0.0000 0.2638 x4
Tm2 0.1619 0.5000 0.0947 x4
Tm3 0.1626 0.5000 0.5714 x4
Rh1 0.0000 0.5000 0.5000 x2
Se1 0.1687 0.0000 0.8402 x4
S1 0.0000 0.5000 0.0000 x2
S2 0.1728 0.0000 0.3344 x4

Summary:
Density of states at the Fermi level = 0.45 states/eV/atom
Crystal system = monoclinic
Total energy = -146.8 eV per cell


Entry 3:
Density functional theory data (GGA-PBE) for a relaxed structure of LaHoAgBi.

a b c (Å): 7.6681 7.6681 7.6681
angles (deg): 90.00 90.00 90.00
Space group F-43m (No. 216)
Asymmetric unit:
La1 0.0000 0.0000 0.0000 x4
Ho1 0.0000 0.0000 0.5000 x4
Ag1 0.2500 0.2500 0.2500 x4
Bi1 0.2500 0.2500 0.7500 x4

Summary:
Density of states at the Fermi level = 1.25 states/eV/atom
Crystal system = cubic
DFT formation energy = -0.461 eV per atom
Total energy = -72.3 eV per cell


Entry 4:
Density functional theory data (GGA-PBE) for a relaxed structure of BC3.

a b c (Å): 4.6302 2.5026 6.4179
angles (deg): 90.00 92.54 90.00
Space group Pm (No. 6)
Asymmetric unit:
B1 0.0000 0.0000 0.0000 x1
B2 0.1583 0.5000 0.6622 x1
B3 0.3263 0.0000 0.3206 x1
C1 0.1910 0.5000 0.9095 x1
C2 0.3499 0.0000 0.5690 x1
C3 0.5108 0.5000 0.9839 x1
C4 0.5175 0.5000 0.2238 x1
C5 0.6663 0.0000 0.6548 x1
C6 0.6658 0.0000 0.9005 x1
C7 0.8213 0.5000 0.5748 x1
C8 0.8280 0.5000 0.3282 x1
C9 0.9819 0.0000 0.2538 x1

Summary:
Density of states at the Fermi level = 0.14 states/eV/atom
Crystal system = monoclinic
DFT formation energy = 0.317 eV per atom
Total energy = -99.2 eV per cell
Energy above the most stable polymorph in this dataset = 0.076 eV/atom


Entry 5:
Density functional theory data (GGA-PBE) for a relaxed structure of Co3SiW2.

a b c (Å): 4.7656 4.7656 7.4009
angles (deg): 90.00 90.00 120.00
Space group P6_3/mmc (No. 194)
Asymmetric unit:
Co1 0.1706 0.3411 0.2500 x6
Si1 0.0000 0.0000 0.0000 x2
W1 0.3333 0.6667 0.5646 x4

Summary:
Density of states at the Fermi level = 0.98 states/eV/atom
Crystal system = hexagonal
Total energy = -108.8 eV per cell


Entry 6:
Density functional theory data (GGA-PBE) for a relaxed structure of TbHfAg2.

a b c (Å): 3.4311 3.4311 7.4534
angles (deg): 90.00 90.00 90.00
Space group P4/mmm (No. 123)
Asymmetric unit:
Tb1 0.0000 0.0000 0.0000 x1
Hf1 0.0000 0.0000 0.5000 x1
Ag1 0.5000 0.5000 0.2749 x2

Summary:
Density of states at the Fermi level = 1.03 states/eV/atom
Crystal system = tetragonal
DFT formation energy = -0.068 eV per atom
Total energy = -20.6 eV per cell
Energy above the most stable polymorph in this dataset = 0.000 eV/atom


Entry 7:
Density functional theory data (GGA-PBE) for a relaxed structure of Pm8Si4Se3.

a b c (Å): 11.9144 11.9220 8.3994
angles (deg): 90.00 134.82 90.00
Space group C2/m (No. 12)
Asymmetric unit:
Pm1 0.0000 0.2429 0.0000 x4
Pm2 0.0000 0.2530 0.5000 x4
Pm3 0.2460 0.0000 0.0108 x4
Pm4 0.2468 0.0000 0.4907 x4
Si1 0.0000 0.0000 0.0000 x2
Si2 0.0000 0.5000 0.5000 x2
Si3 0.2500 0.2500 0.5000 x4
Se1 0.0000 0.0000 0.5000 x2
Se2 0.2500 0.2500 0.0000 x4

Summary:
Density of states at the Fermi level = 0.39 states/eV/atom
Crystal system = monoclinic
Total energy = -173.7 eV per cell


Entry 8:
Density functional theory data (GGA-PBE) for a relaxed structure of CrRuBr.

a b c (Å): 4.1607 4.1607 2.9868
angles (deg): 90.00 90.00 120.00
Space group P3m1 (No. 156)
Asymmetric unit:
Cr1 0.0000 0.0000 0.0000 x1
Ru1 0.6667 0.3333 0.5013 x1
Br1 0.3333 0.6667 0.8515 x1

Summary:
Density of states at the Fermi level = 0.90 states/eV/atom
Crystal system = trigonal
Total energy = -18.1 eV per cell
Energy above the most stable polymorph in this dataset = 0.284 eV/atom


V across the listed records, respectively: 18.872 21.714 28.181 6.191 12.130 21.936 28.212 14.926 Å³/atom.